1.
{"formula": "Mg5Fe", "functional": "PBE", "state": "relaxed", "lattice_angstrom": [[0.651, 5.208, -0.889], [-0.710, -3.331, -4.092], [-4.795, 0.651, 0.302]], "species": ["Fe", "Mg", "Mg", "Mg", "Mg", "Mg"], "frac_coords": [[0.000, 0.000, 0.500], [0.667, 0.333, 0.500], [0.685, 0.000, 0.000], [0.315, 0.315, 0.000], [0.333, 0.667, 0.500], [0.000, 0.685, 0.000]], "density_g_cm3": 2.48, "final_energy_ev_per_atom": -2.55, "crystal_system": "hexagonal", "formation_energy_ev_per_atom": 0.1923, "dos_at_fermi_per_ev_cell": 7.092, "magnetic_moment_mub_per_cell": 2.225}

***

2.
{"formula": "MgFe2", "functional": "PBE", "state": "relaxed", "lattice_angstrom": [[-1.727, -1.967, -1.976], [2.015, 0.725, -2.483], [2.709, -3.547, 1.162]], "species": ["Fe", "Fe", "Mg"], "frac_coords": [[0.000, 0.500, 0.500], [0.500, 0.000, 0.500], [0.000, 0.000, 0.000]], "density_g_cm3": 4.55, "final_energy_ev_per_atom": -5.65, "crystal_system": "tetragonal", "formation_energy_ev_per_atom": 0.5209, "dos_at_fermi_per_ev_cell": 3.022, "magnetic_moment_mub_per_cell": 4.529}

***

3.
{"formula": "Mg2Fe", "functional": "PBE", "state": "relaxed", "lattice_angstrom": [[5.060, -6.033, 11.103], [1.603, -8.041, 10.865], [-2.450, 5.656, -12.136]], "species": ["Mg", "Mg", "Mg", "Mg", "Fe", "Fe"], "frac_coords": [[0.179, 0.679, 0.500], [0.571, 0.571, 0.000], [0.429, 0.429, 0.000], [0.321, 0.821, 0.500], [0.750, 0.250, 0.500], [0.000, 0.000, 0.000]], "density_g_cm3": 3.21, "final_energy_ev_per_atom": -3.63, "crystal_system": "tetragonal", "formation_energy_ev_per_atom": 0.2504, "dos_at_fermi_per_ev_cell": 2.580, "magnetic_moment_mub_per_cell": 4.438}

***

4.
{"formula": "MgFe3", "functional": "PBE", "state": "relaxed", "lattice_angstrom": [[-3.693, -1.820, 2.025], [3.478, 0.152, 2.988], [-0.767, 2.415, 0.771]], "species": ["Fe", "Fe", "Fe", "Mg"], "frac_coords": [[0.000, 0.500, 0.500], [0.500, 0.000, 0.500], [0.500, 0.500, 0.000], [0.000, 0.000, 0.000]], "density_g_cm3": 6.07, "final_energy_ev_per_atom": -6.51, "crystal_system": "orthorhombic", "formation_energy_ev_per_atom": 0.2403, "dos_at_fermi_per_ev_cell": 3.414, "magnetic_moment_mub_per_cell": 7.312}

***

5.
{"formula": "MgFe3", "functional": "PBE", "state": "relaxed", "lattice_angstrom": [[4.935, -0.002, -0.008], [-2.251, 4.392, -0.008], [-2.251, -3.680, 2.397]], "species": ["Mg", "Fe", "Fe", "Fe"], "frac_coords": [[0.500, 0.000, 0.500], [0.000, 0.500, 0.500], [0.000, 0.000, 0.000], [0.500, 0.500, 0.000]], "density_g_cm3": 6.17, "final_energy_ev_per_atom": -6.54, "crystal_system": "trigonal", "formation_energy_ev_per_atom": 0.2009, "dos_at_fermi_per_ev_cell": 3.194, "magnetic_moment_mub_per_cell": 6.986}

***

6.
{"formula": "Mg4Fe5", "functional": "PBE", "state": "relaxed", "lattice_angstrom": [[-4.082, 4.082, 2.015], [4.082, -4.082, 2.015], [4.082, 4.082, -2.015]], "species": ["Mg", "Mg", "Mg", "Mg", "Fe", "Fe", "Fe", "Fe", "Fe"], "frac_coords": [[0.000, 0.686, 0.686], [0.686, 0.000, 0.686], [0.000, 0.314, 0.314], [0.314, 0.000, 0.314], [0.348, 0.348, 0.697], [0.652, 0.348, 0.000], [0.000, 0.000, 0.000], [0.348, 0.652, 0.000], [0.652, 0.652, 0.303]], "density_g_cm3": 4.65, "final_energy_ev_per_atom": -5.19, "crystal_system": "tetragonal", "formation_energy_ev_per_atom": 0.2247, "dos_at_fermi_per_ev_cell": 7.553, "magnetic_moment_mub_per_cell": 11.590}

***

7.
{"formula": "MgFe2", "functional": "PBE", "state": "relaxed", "lattice_angstrom": [[-3.449, 6.372, 1.219], [2.909, -6.627, 1.267], [3.837, 1.880, 1.027]], "species": ["Fe", "Fe", "Fe", "Fe", "Mg", "Mg"], "frac_coords": [[0.451, 0.549, 0.750], [0.787, 0.213, 0.750], [0.213, 0.787, 0.250], [0.549, 0.451, 0.250], [0.116, 0.884, 0.750], [0.884, 0.116, 0.250]], "density_g_cm3": 5.56, "final_energy_ev_per_atom": -5.92, "crystal_system": "orthorhombic", "formation_energy_ev_per_atom": 0.2499, "dos_at_fermi_per_ev_cell": 4.069, "magnetic_moment_mub_per_cell": 9.236}

***

8.
{"formula": "Mg3Fe", "functional": "PBE", "state": "relaxed", "lattice_angstrom": [[-4.483, 3.394, 1.276], [-4.674, 2.856, -1.801], [-4.236, -2.192, 0.646]], "species": ["Mg", "Mg", "Mg", "Fe"], "frac_coords": [[0.278, 0.278, 0.222], [0.722, 0.722, 0.778], [0.500, 0.500, 0.500], [0.000, 0.000, 0.000]], "density_g_cm3": 2.89, "final_energy_ev_per_atom": -3.10, "crystal_system": "monoclinic", "formation_energy_ev_per_atom": 0.2132, "dos_at_fermi_per_ev_cell": 3.331, "magnetic_moment_mub_per_cell": 2.062}

***

9.
{"formula": "MgFe3", "functional": "PBE", "state": "relaxed", "lattice_angstrom": [[-1.158, 1.916, 3.549], [-0.032, -2.125, 3.618], [2.855, 0.846, 2.956]], "species": ["Fe", "Fe", "Fe", "Mg"], "frac_coords": [[0.500, 0.500, 0.500], [0.750, 0.750, 0.750], [0.000, 0.000, 0.000], [0.250, 0.250, 0.250]], "density_g_cm3": 6.10, "final_energy_ev_per_atom": -6.54, "crystal_system": "cubic", "formation_energy_ev_per_atom": 0.2073, "dos_at_fermi_per_ev_cell": 3.558, "magnetic_moment_mub_per_cell": 7.288}

***

10.
{"formula": "MgFe3", "functional": "PBE", "state": "relaxed", "lattice_angstrom": [[-2.876, -0.595, -5.364], [-1.818, -3.379, 1.350], [-6.372, 4.590, 2.907]], "species": ["Fe", "Fe", "Fe", "Fe", "Fe", "Fe", "Fe", "Fe", "Fe", "Fe", "Fe", "Fe", "Mg", "Mg", "Mg", "Mg"], "frac_coords": [[0.378, 0.750, 0.004], [0.853, 0.250, 0.250], [0.122, 0.250, 0.004], [0.122, 0.250, 0.496], [0.147, 0.750, 0.750], [0.353, 0.250, 0.750], [0.378, 0.750, 0.496], [0.647, 0.750, 0.250], [0.878, 0.750, 0.996], [0.878, 0.750, 0.504], [0.622, 0.250, 0.504], [0.622, 0.250, 0.996], [0.107, 0.750, 0.250], [0.607, 0.750, 0.750], [0.393, 0.250, 0.250], [0.893, 0.250, 0.750]], "density_g_cm3": 6.12, "final_energy_ev_per_atom": -6.56, "crystal_system": "orthorhombic", "formation_energy_ev_per_atom": 0.1851, "dos_at_fermi_per_ev_cell": 12.306, "magnetic_moment_mub_per_cell": 28.178}

***

11.
{"formula": "MgFe3", "functional": "PBE", "state": "relaxed", "lattice_angstrom": [[4.734, 0.000, 0.000], [0.000, 4.734, 0.000], [0.000, 0.000, 4.734]], "species": ["Fe", "Fe", "Fe", "Fe", "Fe", "Fe", "Mg", "Mg"], "frac_coords": [[0.250, 0.500, 0.000], [0.750, 0.500, 0.000], [0.500, 0.000, 0.250], [0.000, 0.250, 0.500], [0.500, 0.000, 0.750], [0.000, 0.750, 0.500], [0.000, 0.000, 0.000], [0.500, 0.500, 0.500]], "density_g_cm3": 6.01, "final_energy_ev_per_atom": -6.46, "crystal_system": "cubic", "formation_energy_ev_per_atom": 0.2880, "dos_at_fermi_per_ev_cell": 9.817, "magnetic_moment_mub_per_cell": 14.516}

***

12.
{"formula": "MgFe2", "functional": "PBE", "state": "relaxed", "lattice_angstrom": [[1.480, 4.811, 0.009], [-1.480, 4.811, 0.009], [0.000, 2.049, 5.954]], "species": ["Fe", "Fe", "Fe", "Fe", "Mg", "Mg"], "frac_coords": [[0.842, 0.842, 0.557], [0.514, 0.514, 0.287], [0.486, 0.486, 0.713], [0.158, 0.158, 0.443], [0.158, 0.158, 0.895], [0.842, 0.842, 0.105]], "density_g_cm3": 5.33, "final_energy_ev_per_atom": -6.02, "crystal_system": "monoclinic", "formation_energy_ev_per_atom": 0.1490, "dos_at_fermi_per_ev_cell": 4.605, "magnetic_moment_mub_per_cell": 9.434}

***

13.
{"formula": "MgFe5", "functional": "PBE", "state": "relaxed", "lattice_angstrom": [[-2.007, 0.960, -1.174], [-0.320, -2.172, -1.228], [-7.107, -3.984, 8.895]], "species": ["Fe", "Fe", "Fe", "Fe", "Fe", "Mg"], "frac_coords": [[0.500, 0.500, 0.339], [0.000, 0.000, 0.179], [0.000, 0.000, 0.821], [0.000, 0.000, 0.500], [0.500, 0.500, 0.661], [0.500, 0.500, 0.000]], "density_g_cm3": 6.60, "final_energy_ev_per_atom": -7.11, "crystal_system": "tetragonal", "formation_energy_ev_per_atom": 0.2111, "dos_at_fermi_per_ev_cell": 4.740, "magnetic_moment_mub_per_cell": 12.206}

***

14.
{"formula": "Mg3Fe", "functional": "PBE", "state": "relaxed", "lattice_angstrom": [[4.787, 0.000, 0.000], [0.000, 5.242, 0.000], [0.000, 0.000, 5.878]], "species": ["Mg", "Mg", "Mg", "Mg", "Mg", "Mg", "Fe", "Fe"], "frac_coords": [[0.000, 0.639, 0.500], [0.500, 0.832, 0.748], [0.500, 0.832, 0.252], [0.000, 0.168, 0.248], [0.500, 0.361, 0.000], [0.000, 0.168, 0.752], [0.500, 0.332, 0.500], [0.000, 0.668, 0.000]], "density_g_cm3": 2.90, "final_energy_ev_per_atom": -3.07, "crystal_system": "orthorhombic", "formation_energy_ev_per_atom": 0.2421, "dos_at_fermi_per_ev_cell": 9.407, "magnetic_moment_mub_per_cell": 4.286}

***

15.
{"formula": "Mg3Fe", "functional": "PBE", "state": "relaxed", "lattice_angstrom": [[-1.889, 0.103, 2.329], [2.721, -1.223, 0.328], [3.546, 8.558, 2.495]], "species": ["Fe", "Mg", "Mg", "Mg"], "frac_coords": [[0.000, 0.000, 0.000], [0.000, 0.000, 0.500], [0.667, 0.333, 0.223], [0.667, 0.333, 0.777]], "density_g_cm3": 2.86, "final_energy_ev_per_atom": -3.11, "crystal_system": "hexagonal", "formation_energy_ev_per_atom": 0.2028, "dos_at_fermi_per_ev_cell": 1.975, "magnetic_moment_mub_per_cell": 2.296}

***

16.
{"formula": "Mg3Fe", "functional": "PBE", "state": "relaxed", "lattice_angstrom": [[-1.822, 2.823, -3.099], [-0.196, -4.522, -0.634], [-7.151, -0.248, 3.979]], "species": ["Mg", "Mg", "Mg", "Mg", "Mg", "Mg", "Fe", "Fe"], "frac_coords": [[0.000, 0.000, 0.250], [0.667, 0.333, 0.424], [0.667, 0.333, 0.076], [0.333, 0.667, 0.576], [0.000, 0.000, 0.750], [0.333, 0.667, 0.924], [0.667, 0.333, 0.750], [0.333, 0.667, 0.250]], "density_g_cm3": 2.89, "final_energy_ev_per_atom": -2.95, "crystal_system": "hexagonal", "formation_energy_ev_per_atom": 0.3666, "dos_at_fermi_per_ev_cell": 15.883, "magnetic_moment_mub_per_cell": 0.000}

***

17.
{"formula": "Mg3Fe4", "functional": "PBE", "state": "relaxed", "lattice_angstrom": [[6.501, 6.646, 7.224], [5.517, 9.526, 4.176], [-7.782, -7.537, -4.609]], "species": ["Fe", "Fe", "Fe", "Fe", "Mg", "Mg", "Mg"], "frac_coords": [[0.122, 0.122, 0.000], [0.577, 0.577, 0.000], [0.423, 0.423, 0.000], [0.878, 0.878, 0.000], [0.301, 0.301, 0.000], [0.699, 0.699, 0.000], [0.000, 0.000, 0.000]], "density_g_cm3": 4.58, "final_energy_ev_per_atom": -5.39, "crystal_system": "tetragonal", "formation_energy_ev_per_atom": 0.1338, "dos_at_fermi_per_ev_cell": 5.104, "magnetic_moment_mub_per_cell": 9.133}

***

18.
{"formula": "Mg3Fe", "functional": "PBE", "state": "relaxed", "lattice_angstrom": [[5.314, 0.000, 0.000], [0.000, 5.314, 0.000], [0.000, 0.000, 5.314]], "species": ["Mg", "Mg", "Mg", "Mg", "Mg", "Mg", "Fe", "Fe"], "frac_coords": [[0.000, 0.750, 0.500], [0.500, 0.000, 0.250], [0.000, 0.250, 0.500], [0.500, 0.000, 0.750], [0.250, 0.500, 0.000], [0.750, 0.500, 0.000], [0.500, 0.500, 0.500], [0.000, 0.000, 0.000]], "density_g_cm3": 2.85, "final_energy_ev_per_atom": -3.00, "crystal_system": "cubic", "formation_energy_ev_per_atom": 0.3080, "dos_at_fermi_per_ev_cell": 4.513, "magnetic_moment_mub_per_cell": 4.696}

***

19.
{"formula": "MgFe3", "functional": "PBE", "state": "relaxed", "lattice_angstrom": [[2.991, 0.000, 0.000], [0.000, 2.991, 0.000], [0.000, 0.000, 6.084]], "species": ["Fe", "Fe", "Fe", "Mg"], "frac_coords": [[0.500, 0.500, 0.250], [0.000, 0.000, 0.040], [0.000, 0.000, 0.460], [0.500, 0.500, 0.750]], "density_g_cm3": 5.85, "final_energy_ev_per_atom": -6.58, "crystal_system": "tetragonal", "formation_energy_ev_per_atom": 0.1621, "dos_at_fermi_per_ev_cell": 3.031, "magnetic_moment_mub_per_cell": 7.475}

***

20.
{"formula": "Mg5Fe4", "functional": "PBE", "state": "relaxed", "lattice_angstrom": [[-4.670, 4.670, 1.694], [4.670, -4.670, 1.694], [4.670, 4.670, -1.694]], "species": ["Fe", "Fe", "Fe", "Fe", "Mg", "Mg", "Mg", "Mg", "Mg"], "frac_coords": [[0.640, 0.000, 0.640], [0.000, 0.360, 0.360], [0.360, 0.000, 0.360], [0.000, 0.640, 0.640], [0.331, 0.669, 0.000], [0.331, 0.331, 0.662], [0.669, 0.331, 0.000], [0.000, 0.000, 0.000], [0.669, 0.669, 0.338]], "density_g_cm3": 3.88, "final_energy_ev_per_atom": -4.43, "crystal_system": "tetragonal", "formation_energy_ev_per_atom": 0.2171, "dos_at_fermi_per_ev_cell": 5.202, "magnetic_moment_mub_per_cell": 10.153}

***

21.
{"formula": "Mg5Fe3", "functional": "PBE", "state": "relaxed", "lattice_angstrom": [[-6.346, -3.712, -2.859], [0.860, 0.913, 7.788], [-2.527, 4.513, -0.250]], "species": ["Mg", "Mg", "Mg", "Mg", "Mg", "Mg", "Mg", "Mg", "Mg", "Mg", "Fe", "Fe", "Fe", "Fe", "Fe", "Fe"], "frac_coords": [[0.000, 0.240, 0.250], [0.333, 0.667, 0.500], [0.667, 0.333, 0.000], [0.760, 0.000, 0.750], [0.240, 0.240, 0.750], [0.240, 0.000, 0.250], [0.000, 0.760, 0.750], [0.667, 0.333, 0.500], [0.333, 0.667, 0.000], [0.760, 0.760, 0.250], [0.421, 0.421, 0.250], [0.579, 0.000, 0.250], [0.579, 0.579, 0.750], [0.000, 0.579, 0.250], [0.000, 0.421, 0.750], [0.421, 0.000, 0.750]], "density_g_cm3": 3.44, "final_energy_ev_per_atom": -3.84, "crystal_system": "hexagonal", "formation_energy_ev_per_atom": 0.3290, "dos_at_fermi_per_ev_cell": 13.187, "magnetic_moment_mub_per_cell": 14.340}

***

22.
{"formula": "MgFe2", "functional": "PBE", "state": "relaxed", "lattice_angstrom": [[2.859, -0.271, 5.911], [1.560, 2.034, 5.876], [-1.461, -1.707, 1.397]], "species": ["Fe", "Fe", "Mg"], "frac_coords": [[0.322, 0.322, 0.678], [0.678, 0.678, 0.322], [0.000, 0.000, 0.000]], "density_g_cm3": 5.44, "final_energy_ev_per_atom": -5.95, "crystal_system": "orthorhombic", "formation_energy_ev_per_atom": 0.2265, "dos_at_fermi_per_ev_cell": 2.282, "magnetic_moment_mub_per_cell": 4.707}

***

23.
{"formula": "Mg2Fe", "functional": "PBE", "state": "relaxed", "lattice_angstrom": [[-3.749, 1.740, 2.117], [0.131, -4.493, -1.168], [2.259, -1.239, 5.020]], "species": ["Mg", "Mg", "Mg", "Mg", "Fe", "Fe"], "frac_coords": [[0.000, 0.000, 0.500], [0.333, 0.667, 0.750], [0.000, 0.000, 0.000], [0.667, 0.333, 0.250], [0.333, 0.667, 0.250], [0.667, 0.333, 0.750]], "density_g_cm3": 3.29, "final_energy_ev_per_atom": -3.56, "crystal_system": "hexagonal", "formation_energy_ev_per_atom": 0.3232, "dos_at_fermi_per_ev_cell": 9.147, "magnetic_moment_mub_per_cell": 4.896}

***

24.
{"formula": "Mg5Fe", "functional": "PBE", "state": "relaxed", "lattice_angstrom": [[5.102, 0.688, -2.307], [5.324, 1.744, 0.661], [4.380, -5.803, 1.736]], "species": ["Mg", "Mg", "Mg", "Mg", "Mg", "Fe"], "frac_coords": [[0.383, 0.383, 0.802], [0.028, 0.028, 0.445], [0.672, 0.672, 0.088], [0.363, 0.363, 0.242], [0.693, 0.693, 0.646], [0.028, 0.028, 0.944]], "density_g_cm3": 2.46, "final_energy_ev_per_atom": -2.61, "crystal_system": "monoclinic", "formation_energy_ev_per_atom": 0.1343, "dos_at_fermi_per_ev_cell": 3.683, "magnetic_moment_mub_per_cell": 1.968}

***

25.
{"formula": "MgFe3", "functional": "PBE", "state": "relaxed", "lattice_angstrom": [[2.579, 0.021, 0.000], [-0.760, 2.465, 0.000], [0.000, 0.000, 8.211]], "species": ["Fe", "Fe", "Fe", "Mg"], "frac_coords": [[0.000, 0.000, 0.519], [0.000, 0.000, 0.981], [0.500, 0.500, 0.750], [0.500, 0.500, 0.250]], "density_g_cm3": 6.09, "final_energy_ev_per_atom": -6.54, "crystal_system": "orthorhombic", "formation_energy_ev_per_atom": 0.2007, "dos_at_fermi_per_ev_cell": 3.759, "magnetic_moment_mub_per_cell": 6.940}

***

26.
{"formula": "Mg3Fe", "functional": "PBE", "state": "relaxed", "lattice_angstrom": [[-2.378, 1.835, 0.273], [-0.228, -0.729, 2.918], [5.024, 6.219, 1.946]], "species": ["Fe", "Mg", "Mg", "Mg"], "frac_coords": [[0.000, 0.000, 0.000], [0.000, 0.000, 0.500], [0.500, 0.500, 0.788], [0.500, 0.500, 0.212]], "density_g_cm3": 2.86, "final_energy_ev_per_atom": -3.15, "crystal_system": "tetragonal", "formation_energy_ev_per_atom": 0.1664, "dos_at_fermi_per_ev_cell": 2.337, "magnetic_moment_mub_per_cell": 2.411}